VASP calculation (PBE) on crystalline BeCo2Ru at its relaxed geometry.

## Properties
Formation energy from the elements   0.030 eV/atom
Crystal system   cubic
Space group   F-43m (216)
Raw total energy   -0.498 Ry per atom

The structure in extended XYZ format:
```
4
Lattice="0.000 2.817 2.817 2.817 0.000 2.817 2.817 2.817 0.000" Properties=species:S:1:pos:R:3 pbc="T T T"
Be 0.000 0.000 0.000
Co 1.409 1.409 1.409
Co 2.817 2.817 2.817
Ru 4.226 4.226 4.226
```

---

VASP calculation (PBE) on crystalline BeCo2Ru at its relaxed geometry.

## Properties
Formation energy from the elements   0.068 eV/atom
Crystal system   orthorhombic
Space group   Cmmm (65)
Raw total energy   -0.495 Ry per atom

The structure in extended XYZ format:
```
4
Lattice="2.430 -3.579 0.000 2.430 3.579 0.000 0.000 0.000 2.529" Properties=species:S:1:pos:R:3 pbc="T T T"
Be 0.000 0.000 0.000
Co 1.215 1.789 1.264
Co 1.215 -1.789 1.264
Ru 2.430 0.000 0.000
```